Entry 1:
! meta-GGA SCAN CrCu2Cl, single point on PBEsol structure; values from VASP
! Symmetry: Pm (6)
! E (eV/f.u.): -56.70
! Polymorph energy (0 for the lowest one) (meV/atom): 0.0
! ΔE_f (raw) (meV/atom): 16
&SYSTEM
  ibrav = 0, nat = 4, ntyp = 3
/
ATOMIC_SPECIES
Cl 35.45 Cl.upf
Cr 52.00 Cr.upf
Cu 63.55 Cu.upf
CELL_PARAMETERS angstrom
-1.088 2.562 0.985
-1.935 0.113 -2.431
-4.545 -3.222 3.361
ATOMIC_POSITIONS crystal
Cl 0.000 0.520 0.516
Cr 0.500 0.499 0.792
Cu 0.000 0.993 0.003
Cu 0.500 0.488 0.190

---

Entry 2:
! meta-GGA SCAN GaNiHgGe2, single point on PBEsol structure; values from VASP
! Symmetry: P4/mmm (123)
! Energy of formation from the pure elements (eV/atom): 1.08
! E (eV/f.u.): -133.45
&SYSTEM
  ibrav = 0, nat = 5, ntyp = 4
/
ATOMIC_SPECIES
Ga 69.72 Ga.upf
Ge 72.64 Ge.upf
Ni 58.69 Ni.upf
Hg 200.59 Hg.upf
CELL_PARAMETERS angstrom
-2.391 -0.671 -4.094
4.316 -1.058 -2.347
-0.575 -4.862 1.133
ATOMIC_POSITIONS crystal
Ga 0.500 0.500 0.500
Ge 0.000 0.500 0.000
Ge 0.000 0.000 0.500
Ni 0.500 0.000 0.000
Hg 0.000 0.000 0.000

---

Entry 3:
! meta-GGA SCAN TlOs3Cl, single point on PBEsol structure; values from VASP
! Symmetry: Pm-3m (221)
! E (eV/f.u.): -278.85
! ΔE_f (raw) (meV/atom): 3424
&SYSTEM
  ibrav = 0, nat = 5, ntyp = 3
/
ATOMIC_SPECIES
Tl 204.38 Tl.upf
Cl 35.45 Cl.upf
Os 190.23 Os.upf
CELL_PARAMETERS angstrom
5.011 0.000 0.000
0.000 5.011 0.000
0.000 0.000 5.011
ATOMIC_POSITIONS crystal
Tl 0.000 0.000 0.000
Cl 0.500 0.500 0.500
Os 0.000 0.500 0.000
Os 0.500 0.000 0.000
Os 0.000 0.000 0.500